[1]
DFT (PBE) results for a geometry-optimized NpNbP3 structure.

Results
The value obtained for the formation energy is -0.628 eV per atom. For the volume, the calculation gives 358.4 Å³ per cell. The total DFT energy (no corrections) is -42.4 eV/f.u.

abc: 5.6089 5.3930 11.8491
angles: 90.00 90.00 90.00
With the nearest neighbours (Å) after each atom.
Fractional positions:
P 0.2500 0.5017 0.7685  1 P 2.58, 2 Nb 2.65, 1 Np 2.87
P 0.2500 0.6367 0.0912  4 Nb 2.52-2.54, 1 P 2.58, 1 Np 2.81
P 0.5000 0.2500 0.4978  4 P 2.70-2.80, 4 Np 2.88
P 0.7500 0.3633 0.9088  4 Nb 2.52-2.54, 1 P 2.58, 1 Np 2.81
P 0.7500 0.4983 0.2315  1 P 2.58, 2 Nb 2.65, 1 Np 2.87
P 0.7500 0.8633 0.0912  4 Nb 2.52-2.54, 1 P 2.58, 1 Np 2.81
P 0.5000 0.7500 0.5022  4 P 2.70-2.80, 4 Np 2.88
P 0.2500 0.0017 0.2315  1 P 2.58, 2 Nb 2.65, 1 Np 2.87
P 0.7500 0.9983 0.7685  1 P 2.58, 2 Nb 2.65, 1 Np 2.87
P 0.0000 0.7500 0.5022  4 P 2.70-2.80, 4 Np 2.88
P 0.0000 0.2500 0.4978  4 P 2.70-2.80, 4 Np 2.88
P 0.2500 0.1367 0.9088  4 Nb 2.52-2.54, 1 P 2.58, 1 Np 2.81
Nb 0.5000 0.2500 0.0796  6 P 2.52-2.65, 2 Nb 2.80
Nb 0.0000 0.7500 0.9204  6 P 2.52-2.65, 2 Nb 2.80
Nb 0.5000 0.7500 0.9204  6 P 2.52-2.65, 2 Nb 2.80
Nb 0.0000 0.2500 0.0796  6 P 2.52-2.65, 2 Nb 2.80
Np 0.2500 0.0082 0.6788  9 P 2.81-3.00
Np 0.7500 0.4918 0.6788  9 P 2.81-3.00
Np 0.7500 0.9918 0.3212  9 P 2.81-3.00
Np 0.2500 0.5082 0.3212  9 P 2.81-3.00

[2]
DFT (PBE) results for a geometry-optimized PmLu2Pa structure.

Results
The polymorph energy (0 for the lowest one) is 0 meV/atom. The value obtained for the formation energy is 0.120 eV per atom. For the volume, the calculation gives 116.5 Å³ per cell. The total DFT energy (no corrections) is -22.8 eV/f.u.

abc: 3.4223 3.4223 9.9446
angles: 90.00 90.00 90.00
With the nearest neighbours (Å) after each atom.
Fractional positions:
Pm 0.5000 0.5000 0.5000  4 Pm 3.42, 8 Lu 3.61
Lu 0.0000 0.0000 0.7689  4 Pa 3.34, 4 Lu 3.42, 4 Pm 3.61
Lu 0.0000 0.0000 0.2311  4 Pa 3.34, 4 Lu 3.42, 4 Pm 3.61
Pa 0.5000 0.5000 0.0000  8 Lu 3.34, 4 Pa 3.42

[3]
DFT (PBE) results for a geometry-optimized Ti2HgI structure.

Results
The polymorph energy (0 for the lowest one) is 0 meV/atom. For the volume, the calculation gives 80.5 Å³ per cell. The total DFT energy (no corrections) is -16.5 eV/f.u. For the energy relative to the elements, uncorrected, the calculation gives 290 meV/atom.

abc: 4.8459 4.8459 4.8459
angles: 60.00 60.00 60.00
With the nearest neighbours (Å) after each atom.
Fractional positions:
Ti 0.2500 0.2500 0.2500  4 Hg 2.97, 4 I 2.97
Ti 0.7500 0.7500 0.7500  4 Hg 2.97, 4 I 2.97
Hg 0.5000 0.5000 0.5000  8 Ti 2.97
I 0.0000 0.0000 0.0000  8 Ti 2.97

[4]
DFT (PBE) results for a geometry-optimized ReSiSb structure.

Results
The polymorph energy (0 for the lowest one) is 0 meV/atom. For the volume, the calculation gives 54.2 Å³ per cell. The total DFT energy (no corrections) is -21.3 eV/f.u. For the energy relative to the elements, uncorrected, the calculation gives 247 meV/atom.

abc: 3.2574 3.2574 5.8942
angles: 90.00 90.00 120.00
With the nearest neighbours (Å) after each atom.
Fractional positions:
Sb 0.6667 0.3333 0.3175  3 Re 2.75, 3 Si 2.96
Si 0.3333 0.6667 0.7059  3 Re 2.47
Re 0.0000 0.0000 0.9766  3 Si 2.47, 3 Sb 2.75

[5]
DFT (PBE) results for a geometry-optimized ScHg2Br structure.

Results
The polymorph energy (0 for the lowest one) is 272 meV/atom. For the volume, the calculation gives 104.7 Å³ per cell. The total DFT energy (no corrections) is -9.6 eV/f.u. For the energy relative to the elements, uncorrected, the calculation gives -256 meV/atom.

abc: 3.5860 5.2513 5.5613
angles: 90.00 90.00 90.00
With the nearest neighbours (Å) after each atom.
Fractional positions:
Hg 0.0000 0.0000 0.0024  2 Hg 2.75-2.81
Hg 0.0000 0.0000 0.4976  2 Hg 2.75-2.81
Br 0.5000 0.5000 0.7500  2 Sc 2.78
Sc 0.5000 0.5000 0.2500  2 Br 2.78

[6]
DFT (PBE) results for a geometry-optimized Pr2Ge3Ru structure.

Results
The value obtained for the formation energy is -0.642 eV per atom. For the volume, the calculation gives 271.1 Å³ per cell. The total DFT energy (no corrections) is -36.5 eV/f.u.

abc: 6.0448 6.0448 8.5392
angles: 110.24 110.24 91.29
With the nearest neighbours (Å) after each atom.
Fractional positions:
Pr 0.7500 0.2500 0.5000  8 Ge 3.23-3.25, 4 Ru 3.27
Pr 0.7438 0.7438 0.0000  2 Ru 3.22, 10 Ge 3.22-3.34
Pr 0.2500 0.7500 0.5000  8 Ge 3.23-3.25, 4 Ru 3.27
Pr 0.2562 0.2562 0.0000  2 Ru 3.22, 10 Ge 3.22-3.34
Ge 0.1692 0.6604 0.8296  1 Ru 2.44, 2 Ge 2.53
Ge 0.6604 0.1692 0.8296  1 Ru 2.44, 2 Ge 2.53
Ge 0.1699 0.1699 0.3399  1 Ru 2.43, 2 Ge 2.53
Ge 0.8301 0.8301 0.6601  1 Ru 2.43, 2 Ge 2.53
Ge 0.8308 0.3396 0.1704  1 Ru 2.44, 2 Ge 2.53
Ge 0.3396 0.8308 0.1704  1 Ru 2.44, 2 Ge 2.53
Ru 0.6663 0.6663 0.3326  3 Ge 2.43-2.44
Ru 0.3337 0.3337 0.6674  3 Ge 2.43-2.44